1 | A plane-wave DFT calculation with PBE-GGA was carried out for a geometry-optimized TbYNiRh structure.

Structure (CIF):
```
data_TbYNiRh
_cell_length_a 4.843
_cell_length_b 4.843
_cell_length_c 4.843
_cell_angle_alpha 60.00
_cell_angle_beta 60.00
_cell_angle_gamma 60.00
_space_group_name_H-M_alt 'P 1'
_space_group_IT_number 1
loop_
_space_group_symop_operation_xyz
'x,y,z'
loop_
_atom_site_label
_atom_site_fract_x
_atom_site_fract_y
_atom_site_fract_z
Tb1 0.000 0.000 0.000
Y1 0.500 0.500 0.500
Ni1 0.250 0.250 0.250
Rh1 0.750 0.750 0.750
```

=====

2 | A plane-wave DFT calculation with PBE-GGA was carried out for a geometry-optimized TbYNiRh structure.

Structure (CIF):
```
data_TbYNiRh
_cell_length_a 4.142
_cell_length_b 5.630
_cell_length_c 5.630
_cell_angle_alpha 39.76
_cell_angle_beta 90.00
_cell_angle_gamma 90.00
_space_group_name_H-M_alt 'P 1'
_space_group_IT_number 1
loop_
_space_group_symop_operation_xyz
'x,y,z'
loop_
_atom_site_label
_atom_site_fract_x
_atom_site_fract_y
_atom_site_fract_z
Tb1 0.000 0.000 0.000
Y1 0.500 0.718 0.718
Ni1 0.000 0.281 0.281
Rh1 0.500 0.437 0.437
```

=====

Most stable: 2 (next structure +30 meV/atom)

=====

1 | A plane-wave DFT calculation with PBE-GGA was carried out for a geometry-optimized TcNiRh2 structure.

Structure (CIF):
```
data_TcNiRh2
_cell_length_a 4.633
_cell_length_b 4.633
_cell_length_c 4.618
_cell_angle_alpha 99.88
_cell_angle_beta 99.88
_cell_angle_gamma 33.86
_space_group_name_H-M_alt 'P 1'
_space_group_IT_number 1
loop_
_space_group_symop_operation_xyz
'x,y,z'
loop_
_atom_site_label
_atom_site_fract_x
_atom_site_fract_y
_atom_site_fract_z
Tc1 0.000 0.000 0.000
Ni1 0.252 0.252 0.748
Rh1 0.502 0.502 0.512
Rh2 0.751 0.751 0.236
```

=====

2 | A plane-wave DFT calculation with PBE-GGA was carried out for a geometry-optimized TcNiRh2 structure.

Structure (CIF):
```
data_TcNiRh2
_cell_length_a 5.437
_cell_length_b 5.437
_cell_length_c 5.437
_cell_angle_alpha 104.23
_cell_angle_beta 104.23
_cell_angle_gamma 120.56
_space_group_name_H-M_alt 'P 1'
_space_group_IT_number 1
loop_
_space_group_symop_operation_xyz
'x,y,z'
loop_
_atom_site_label
_atom_site_fract_x
_atom_site_fract_y
_atom_site_fract_z
Tc1 0.000 0.000 0.000
Tc2 0.750 0.250 0.500
Ni1 0.250 0.750 0.500
Ni2 0.500 0.500 0.000
Rh1 0.117 0.125 0.492
Rh2 0.375 0.883 0.008
Rh3 0.633 0.625 0.508
Rh4 0.875 0.367 0.992
```

=====

3 | A plane-wave DFT calculation with PBE-GGA was carried out for a geometry-optimized TcNiRh2 structure.

Structure (CIF):
```
data_TcNiRh2
_cell_length_a 2.685
_cell_length_b 3.799
_cell_length_c 5.305
_cell_angle_alpha 90.00
_cell_angle_beta 90.00
_cell_angle_gamma 90.00
_space_group_name_H-M_alt 'P 1'
_space_group_IT_number 1
loop_
_space_group_symop_operation_xyz
'x,y,z'
loop_
_atom_site_label
_atom_site_fract_x
_atom_site_fract_y
_atom_site_fract_z
Tc1 0.000 0.000 0.000
Ni1 0.500 0.500 0.237
Rh1 0.000 0.000 0.475
Rh2 0.500 0.500 0.751
```

=====

Most stable: 3 (next structure +42 meV/atom)

=====

1 | A plane-wave DFT calculation with PBE-GGA was carried out for a geometry-optimized TcNi3Rh structure.

Structure (CIF):
```
data_TcNi3Rh
_cell_length_a 5.687
_cell_length_b 3.669
_cell_length_c 5.924
_cell_angle_alpha 90.00
_cell_angle_beta 90.72
_cell_angle_gamma 90.00
_space_group_name_H-M_alt 'P 1'
_space_group_IT_number 1
loop_
_space_group_symop_operation_xyz
'x,y,z'
loop_
_atom_site_label
_atom_site_fract_x
_atom_site_fract_y
_atom_site_fract_z
Tc1 0.153 0.250 0.048
Tc2 0.847 0.750 0.952
Ni1 0.257 0.750 0.751
Ni2 0.360 0.250 0.451
Ni3 0.459 0.750 0.148
Ni4 0.541 0.250 0.852
Ni5 0.640 0.750 0.549
Ni6 0.743 0.250 0.249
Rh1 0.057 0.750 0.346
Rh2 0.943 0.250 0.654
```

=====

2 | A plane-wave DFT calculation with PBE-GGA was carried out for a geometry-optimized TcNi3Rh structure.

Structure (CIF):
```
data_TcNi3Rh
_cell_length_a 4.364
_cell_length_b 4.364
_cell_length_c 4.364
_cell_angle_alpha 90.00
_cell_angle_beta 90.00
_cell_angle_gamma 90.00
_space_group_name_H-M_alt 'P 1'
_space_group_IT_number 1
loop_
_space_group_symop_operation_xyz
'x,y,z'
loop_
_atom_site_label
_atom_site_fract_x
_atom_site_fract_y
_atom_site_fract_z
Tc1 0.000 0.000 0.000
Ni1 0.000 0.000 0.500
Ni2 0.000 0.500 0.000
Ni3 0.500 0.000 0.000
Rh1 0.500 0.500 0.500
```

=====

Most stable: 1 (next structure +1441 meV/atom)

=====

1 | A plane-wave DFT calculation with PBE-GGA was carried out for a geometry-optimized TcNiRh4 structure.

Structure (CIF):
```
data_TcNiRh4
_cell_length_a 5.019
_cell_length_b 5.019
_cell_length_c 5.019
_cell_angle_alpha 60.00
_cell_angle_beta 60.00
_cell_angle_gamma 60.00
_space_group_name_H-M_alt 'P 1'
_space_group_IT_number 1
loop_
_space_group_symop_operation_xyz
'x,y,z'
loop_
_atom_site_label
_atom_site_fract_x
_atom_site_fract_y
_atom_site_fract_z
Tc1 0.000 0.000 0.000
Ni1 0.750 0.750 0.750
Rh1 0.375 0.375 0.375
Rh2 0.375 0.375 0.874
Rh3 0.375 0.874 0.375
Rh4 0.874 0.375 0.375
```

=====

2 | A plane-wave DFT calculation with PBE-GGA was carried out for a geometry-optimized TcNiRh4 structure.

Structure (CIF):
```
data_TcNiRh4
_cell_length_a 2.701
_cell_length_b 3.814
_cell_length_c 8.048
_cell_angle_alpha 90.00
_cell_angle_beta 90.00
_cell_angle_gamma 90.00
_space_group_name_H-M_alt 'P 1'
_space_group_IT_number 1
loop_
_space_group_symop_operation_xyz
'x,y,z'
loop_
_atom_site_label
_atom_site_fract_x
_atom_site_fract_y
_atom_site_fract_z
Tc1 0.000 0.000 0.000
Ni1 0.500 0.500 0.500
Rh1 0.000 0.000 0.337
Rh2 0.000 0.000 0.663
Rh3 0.500 0.500 0.166
Rh4 0.500 0.500 0.834
```

=====

3 | A plane-wave DFT calculation with PBE-GGA was carried out for a geometry-optimized TcNiRh4 structure.

Structure (CIF):
```
data_TcNiRh4
_cell_length_a 4.324
_cell_length_b 5.315
_cell_length_c 7.329
_cell_angle_alpha 90.00
_cell_angle_beta 90.00
_cell_angle_gamma 90.00
_space_group_name_H-M_alt 'P 1'
_space_group_IT_number 1
loop_
_space_group_symop_operation_xyz
'x,y,z'
loop_
_atom_site_label
_atom_site_fract_x
_atom_site_fract_y
_atom_site_fract_z
Tc1 0.250 0.250 0.084
Tc2 0.750 0.750 0.916
Ni1 0.250 0.750 0.423
Ni2 0.750 0.250 0.577
Rh1 0.250 0.250 0.423
Rh2 0.250 0.504 0.757
Rh3 0.250 0.750 0.091
Rh4 0.250 0.996 0.757
Rh5 0.750 0.004 0.243
Rh6 0.750 0.250 0.909
Rh7 0.750 0.496 0.243
Rh8 0.750 0.750 0.577
```

=====

Most stable: 2 (next structure +85 meV/atom)

=====

1 | A plane-wave DFT calculation with PBE-GGA was carried out for a geometry-optimized NiTeRh3 structure.

Structure (CIF):
```
data_NiTeRh3
_cell_length_a 4.525
_cell_length_b 4.525
_cell_length_c 4.525
_cell_angle_alpha 90.00
_cell_angle_beta 90.00
_cell_angle_gamma 90.00
_space_group_name_H-M_alt 'P 1'
_space_group_IT_number 1
loop_
_space_group_symop_operation_xyz
'x,y,z'
loop_
_atom_site_label
_atom_site_fract_x
_atom_site_fract_y
_atom_site_fract_z
Ni1 0.000 0.000 0.000
Te1 0.500 0.500 0.500
Rh1 0.000 0.000 0.500
Rh2 0.000 0.500 0.000
Rh3 0.500 0.000 0.000
```

=====

2 | A plane-wave DFT calculation with PBE-GGA was carried out for a geometry-optimized NiTeRh3 structure.

Structure (CIF):
```
data_NiTeRh3
_cell_length_a 4.798
_cell_length_b 4.798
_cell_length_c 4.798
_cell_angle_alpha 90.00
_cell_angle_beta 90.00
_cell_angle_gamma 90.00
_space_group_name_H-M_alt 'P 1'
_space_group_IT_number 1
loop_
_space_group_symop_operation_xyz
'x,y,z'
loop_
_atom_site_label
_atom_site_fract_x
_atom_site_fract_y
_atom_site_fract_z
Ni1 0.000 0.000 0.000
Te1 0.500 0.500 0.500
Rh1 0.000 0.500 0.500
Rh2 0.500 0.000 0.500
Rh3 0.500 0.500 0.000
```

=====

Most stable: 1 (next structure +352 meV/atom)

=====

1 | A plane-wave DFT calculation with PBE-GGA was carried out for a geometry-optimized ThZnNiRh structure.

Structure (CIF):
```
data_ThZnNiRh
_cell_length_a 4.684
_cell_length_b 4.684
_cell_length_c 4.684
_cell_angle_alpha 60.00
_cell_angle_beta 60.00
_cell_angle_gamma 60.00
_space_group_name_H-M_alt 'P 1'
_space_group_IT_number 1
loop_
_space_group_symop_operation_xyz
'x,y,z'
loop_
_atom_site_label
_atom_site_fract_x
_atom_site_fract_y
_atom_site_fract_z
Th1 0.000 0.000 0.000
Zn1 0.500 0.500 0.500
Ni1 0.250 0.250 0.250
Rh1 0.750 0.750 0.750
```

=====

2 | A plane-wave DFT calculation with PBE-GGA was carried out for a geometry-optimized ThZnNiRh structure.

Structure (CIF):
```
data_ThZnNiRh
_cell_length_a 4.280
_cell_length_b 4.280
_cell_length_c 5.251
_cell_angle_alpha 114.22
_cell_angle_beta 114.22
_cell_angle_gamma 60.03
_space_group_name_H-M_alt 'P 1'
_space_group_IT_number 1
loop_
_space_group_symop_operation_xyz
'x,y,z'
loop_
_atom_site_label
_atom_site_fract_x
_atom_site_fract_y
_atom_site_fract_z
Th1 0.000 0.000 0.000
Zn1 0.496 0.496 0.488
Ni1 0.793 0.793 0.379
Rh1 0.216 0.216 0.647
```

=====

Most stable: 2 (next structure +146 meV/atom)